[1]
A plane-wave DFT calculation with PBE was carried out for a geometry-optimized RbBe2RhN structure.

a = 4.6502 Å, b = 4.6502 Å, c = 4.1364 Å
α = 90.00°, β = 90.00°, γ = 90.00°
Last column: nearest neighbours and their distance in Å.
Positions (direct):
Rb (0.0000, 0.0000, 0.0000)  2 N 2.07
Be (0.0000, 0.5000, 0.0000)  2 Rb 2.33
Be (0.5000, 0.0000, 0.0000)  2 Rb 2.33
Rh (0.5000, 0.5000, 0.5000)  8 Be 3.11, 4 N 3.29
N (0.0000, 0.0000, 0.5000)  2 Rb 2.07

formation energy (no corrections)	2.865	eV per atom
DOS at the Fermi energy	3.43	states/eV/cell

=====

[2]
A plane-wave DFT calculation with PBE was carried out for a geometry-optimized Ac2Nd3Dy6 structure.

a = 6.2758 Å, b = 6.2758 Å, c = 12.0263 Å
α = 94.99°, β = 94.99°, γ = 120.07°
Last column: nearest neighbours and their distance in Å.
Positions (direct):
Ac (0.1668, 0.8332, 0.0000)  3 Ac 3.62-3.63, 6 Dy 3.69-3.70
Ac (0.8332, 0.1668, 0.0000)  3 Ac 3.62-3.63, 6 Dy 3.69-3.70
Nd (0.0000, 0.0000, 0.5000)  6 Dy 3.56, 6 Nd 3.61-3.65
Nd (0.3355, 0.6645, 0.5000)  6 Dy 3.54-3.57, 6 Nd 3.58-3.65
Nd (0.6645, 0.3355, 0.5000)  6 Dy 3.54-3.57, 6 Nd 3.58-3.65
Dy (0.0817, 0.4142, 0.7431)  3 Nd 3.56-3.57, 6 Dy 3.61-3.63, 2 Ac 3.69
Dy (0.2533, 0.2533, 0.2570)  3 Nd 3.54-3.56, 6 Dy 3.61-3.63, 2 Ac 3.70
Dy (0.4142, 0.0817, 0.7431)  3 Nd 3.56-3.57, 6 Dy 3.61-3.63, 2 Ac 3.69
Dy (0.5858, 0.9183, 0.2569)  3 Nd 3.56-3.57, 6 Dy 3.61-3.63, 2 Ac 3.69
Dy (0.7467, 0.7467, 0.7430)  3 Nd 3.54-3.56, 6 Dy 3.61-3.63, 2 Ac 3.70
Dy (0.9183, 0.5858, 0.2569)  3 Nd 3.56-3.57, 6 Dy 3.61-3.63, 2 Ac 3.69

DOS at the Fermi energy	14.95	states/eV/cell
formation energy	183.8	meV per atom

=====

[3]
A plane-wave DFT calculation with PBE was carried out for a geometry-optimized LiCaIn3 structure.

a = 5.8880 Å, b = 5.8880 Å, c = 5.8880 Å
α = 90.00°, β = 90.00°, γ = 90.00°
Last column: nearest neighbours and their distance in Å.
Positions (direct):
Li (0.0000, 0.0000, 0.0000)  12 In 4.16
Ca (0.5000, 0.5000, 0.5000)  6 In 2.94
In (0.0000, 0.5000, 0.5000)  2 Ca 2.94
In (0.5000, 0.0000, 0.5000)  2 Ca 2.94
In (0.5000, 0.5000, 0.0000)  2 Ca 2.94

DOS at the Fermi energy	4.73	states/eV/cell
formation energy	485.3	meV per atom

=====

[4]
A plane-wave DFT calculation with PBE was carried out for a geometry-optimized Fe2IrPdPb structure.

a = 4.7973 Å, b = 4.7973 Å, c = 4.8884 Å
α = 90.00°, β = 90.00°, γ = 90.00°
Last column: nearest neighbours and their distance in Å.
Positions (direct):
Fe (0.0000, 0.5000, 0.0000)  2 Pb 2.40
Fe (0.5000, 0.0000, 0.0000)  2 Pb 2.40
Ir (0.0000, 0.0000, 0.5000)  4 Pd 3.39, 8 Fe 3.42
Pd (0.5000, 0.5000, 0.5000)  2 Pb 2.44
Pb (0.5000, 0.5000, 0.0000)  4 Fe 2.40, 2 Pd 2.44

DOS at the Fermi energy	4.33	states/eV/cell
formation energy	1938.1	meV per atom

=====

[5]
A plane-wave DFT calculation with PBE was carried out for a geometry-optimized Cd5InHg8 structure.

a = 7.8130 Å, b = 7.8130 Å, c = 7.8130 Å
α = 105.68°, β = 105.68°, γ = 117.35°
Last column: nearest neighbours and their distance in Å.
Positions (direct):
Cd (0.0000, 0.0000, 0.0000)  8 Hg 3.01-3.04
Cd (0.2585, 0.5125, 0.5466)  5 Hg 2.91-3.10, 2 Cd 3.26
Cd (0.2881, 0.7415, 0.2540)  5 Hg 2.91-3.10, 2 Cd 3.26
Cd (0.4875, 0.0341, 0.7460)  5 Hg 2.91-3.10, 2 Cd 3.26
Cd (0.9659, 0.7119, 0.4534)  5 Hg 2.91-3.10, 2 Cd 3.26
In (0.7500, 0.2500, 0.5000)  8 Hg 3.22-3.43, 4 Cd 3.38
Hg (0.1573, 0.3169, 0.8304)  2 Cd 3.04-3.09, 3 Hg 3.11-3.39, 1 In 3.22
Hg (0.1867, 0.7558, 0.8731)  5 Cd 2.91-3.10, 1 Hg 3.25
Hg (0.2442, 0.1172, 0.4309)  5 Cd 2.91-3.10, 1 Hg 3.25
Hg (0.4866, 0.3269, 0.1696)  2 Cd 3.04-3.09, 3 Hg 3.11-3.39, 1 In 3.22
Hg (0.6731, 0.8427, 0.1597)  2 Cd 3.04-3.09, 3 Hg 3.11-3.39, 1 In 3.22
Hg (0.6831, 0.5134, 0.8403)  2 Cd 3.04-3.09, 3 Hg 3.11-3.39, 1 In 3.22
Hg (0.6864, 0.8133, 0.5691)  5 Cd 2.91-3.10, 1 Hg 3.25
Hg (0.8828, 0.3136, 0.1269)  5 Cd 2.91-3.10, 1 Hg 3.25

DOS at the Fermi energy	5.81	states/eV/cell
formation energy	34.4	meV per atom

=====

[6]
A plane-wave DFT calculation with PBE was carried out for a geometry-optimized MgMnOs2 structure.

a = 7.1499 Å, b = 7.1499 Å, c = 4.9853 Å
α = 90.00°, β = 90.00°, γ = 90.00°
Last column: nearest neighbours and their distance in Å.
Positions (direct):
Mg (0.0000, 0.0000, 0.0000)  2 Mn 2.49
Mg (0.0000, 0.5000, 0.2500)  2 Mn 2.49
Mg (0.5000, 0.0000, 0.7500)  2 Mn 2.49
Mg (0.5000, 0.5000, 0.5000)  2 Mn 2.49
Mn (0.0000, 0.0000, 0.5000)  4 Os 2.32, 2 Mg 2.49
Mn (0.0000, 0.5000, 0.7500)  4 Os 2.32, 2 Mg 2.49
Mn (0.5000, 0.0000, 0.2500)  4 Os 2.32, 2 Mg 2.49
Mn (0.5000, 0.5000, 0.0000)  4 Os 2.32, 2 Mg 2.49
Os (0.1877, 0.2500, 0.6250)  2 Mn 2.32
Os (0.2500, 0.6877, 0.8750)  2 Mn 2.32
Os (0.2500, 0.8123, 0.3750)  2 Mn 2.32
Os (0.3123, 0.2500, 0.1250)  2 Mn 2.32
Os (0.6877, 0.7500, 0.1250)  2 Mn 2.32
Os (0.7500, 0.1877, 0.3750)  2 Mn 2.32
Os (0.7500, 0.3123, 0.8750)  2 Mn 2.32
Os (0.8123, 0.7500, 0.6250)  2 Mn 2.32

DOS at the Fermi energy	16.29	states/eV/cell
formation energy	655.2	meV per atom

=====

[7]
A plane-wave DFT calculation with PBE was carried out for a geometry-optimized Ti3Pd2O structure.

a = 5.8692 Å, b = 5.8692 Å, c = 6.2301 Å
α = 97.37°, β = 97.37°, γ = 121.58°
Last column: nearest neighbours and their distance in Å.
Positions (direct):
Ti (0.0495, 0.4518, 0.7862)  2 O 2.12-2.22
Ti (0.1647, 0.1647, 0.1734)  2 O 2.15
Ti (0.4518, 0.0495, 0.7862)  2 O 2.12-2.22
Ti (0.5482, 0.9505, 0.2138)  2 O 2.12-2.22
Ti (0.8353, 0.8353, 0.8266)  2 O 2.15
Ti (0.9505, 0.5482, 0.2138)  2 O 2.12-2.22
Pd (0.0000, 0.0000, 0.5000)  2 Ti 2.46
Pd (0.3726, 0.6274, 0.5000)  1 Pd 2.61, 6 Ti 2.64-2.73
Pd (0.5000, 0.5000, 0.0000)  6 Ti 2.44-2.66
Pd (0.6274, 0.3726, 0.5000)  1 Pd 2.61, 6 Ti 2.64-2.73
O (0.1715, 0.8285, 0.0000)  6 Ti 2.12-2.22
O (0.8285, 0.1715, 0.0000)  6 Ti 2.12-2.22

formation energy (no corrections)	-0.906	eV per atom
DOS at the Fermi energy	10.01	states/eV/cell

=====

[8]
A plane-wave DFT calculation with PBE was carried out for a geometry-optimized Cs3Nd2ErSe6 structure.

a = 7.5308 Å, b = 7.5308 Å, c = 8.7655 Å
α = 98.24°, β = 98.24°, γ = 120.00°
Last column: nearest neighbours and their distance in Å.
Positions (direct):
Cs (0.0000, 0.0000, 0.0000)  6 Se 3.60-3.68
Cs (0.3312, 0.6688, 0.0000)  6 Se 3.60-3.66
Cs (0.6688, 0.3312, 0.0000)  6 Se 3.60-3.66
Nd (0.1665, 0.8335, 0.5000)  6 Se 3.00
Nd (0.8335, 0.1665, 0.5000)  6 Se 3.00
Er (0.5000, 0.5000, 0.5000)  6 Se 2.90-2.91
Se (0.1138, 0.4373, 0.3120)  1 Er 2.90, 2 Nd 3.00
Se (0.2395, 0.2395, 0.6889)  1 Er 2.91, 2 Nd 3.00
Se (0.4373, 0.1138, 0.3120)  1 Er 2.90, 2 Nd 3.00
Se (0.5627, 0.8862, 0.6880)  1 Er 2.90, 2 Nd 3.00
Se (0.7605, 0.7605, 0.3111)  1 Er 2.91, 2 Nd 3.00
Se (0.8862, 0.5627, 0.6880)  1 Er 2.90, 2 Nd 3.00

formation energy (no corrections)	-1.722	eV per atom
DOS at the Fermi energy	0.00	states/eV/cell

=====

[9]
A plane-wave DFT calculation with PBE was carried out for a geometry-optimized CeAgF5 structure.

a = 6.0809 Å, b = 6.0809 Å, c = 8.9387 Å
α = 110.86°, β = 110.86°, γ = 73.05°
Last column: nearest neighbours and their distance in Å.
Positions (direct):
Ce (0.0000, 0.0000, 0.0000)  6 F 2.14-2.29
Ce (0.0000, 0.0000, 0.5000)  6 F 2.14-2.29
Ag (0.4830, 0.5170, 0.7500)  4 F 2.27-2.47
Ag (0.5170, 0.4830, 0.2500)  4 F 2.27-2.47
F (0.0717, 0.9283, 0.7500)  2 Ce 2.29
F (0.1984, 0.2859, 0.6270)  1 Ce 2.15, 1 Ag 2.27
F (0.2563, 0.6828, 0.0334)  1 Ce 2.14
F (0.2859, 0.1984, 0.1270)  1 Ce 2.15, 1 Ag 2.27
F (0.3172, 0.7437, 0.4666)  1 Ce 2.14
F (0.6828, 0.2563, 0.5334)  1 Ce 2.14
F (0.7141, 0.8016, 0.8730)  1 Ce 2.15, 1 Ag 2.27
F (0.7437, 0.3172, 0.9666)  1 Ce 2.14
F (0.8016, 0.7141, 0.3730)  1 Ce 2.15, 1 Ag 2.27
F (0.9283, 0.0717, 0.2500)  2 Ce 2.29

formation energy (no corrections)	-2.945	eV per atom

=====

[10]
A plane-wave DFT calculation with PBE was carried out for a geometry-optimized ErThSe2 structure.

a = 3.9914 Å, b = 3.9914 Å, c = 21.5252 Å
α = 90.00°, β = 90.00°, γ = 120.00°
Last column: nearest neighbours and their distance in Å.
Positions (direct):
Er (0.0000, 0.0000, 0.0000)  6 Se 2.83
Er (0.3333, 0.6667, 0.6667)  6 Se 2.83
Er (0.6667, 0.3333, 0.3333)  6 Se 2.83
Th (0.0000, 0.0000, 0.5000)  6 Se 3.01
Th (0.3333, 0.6667, 0.1667)  6 Se 3.01
Th (0.6667, 0.3333, 0.8333)  6 Se 3.01
Se (0.0000, 0.0000, 0.2567)  3 Er 2.83, 3 Th 3.01
Se (0.0000, 0.0000, 0.7433)  3 Er 2.83, 3 Th 3.01
Se (0.3333, 0.6667, 0.4100)  3 Er 2.83, 3 Th 3.01
Se (0.3333, 0.6667, 0.9233)  3 Er 2.83, 3 Th 3.01
Se (0.6667, 0.3333, 0.0767)  3 Er 2.83, 3 Th 3.01
Se (0.6667, 0.3333, 0.5900)  3 Er 2.83, 3 Th 3.01

formation energy (no corrections)	-1.618	eV per atom
DOS at the Fermi energy	7.65	states/eV/cell

=====

[11]
A plane-wave DFT calculation with PBE was carried out for a geometry-optimized Ca4Zn2CdAu structure.

a = 9.0749 Å, b = 9.0749 Å, c = 9.0749 Å
α = 33.64°, β = 33.64°, γ = 33.64°
Last column: nearest neighbours and their distance in Å.
Positions (direct):
Ca (0.1207, 0.1207, 0.1207)  1 Au 3.10, 4 Zn 3.14-3.17, 3 Cd 3.25
Ca (0.3713, 0.3713, 0.3713)  3 Au 3.19, 4 Zn 3.26-3.30, 1 Cd 3.30
Ca (0.6287, 0.6287, 0.6287)  3 Au 3.19, 4 Zn 3.26-3.30, 1 Cd 3.30
Ca (0.8793, 0.8793, 0.8793)  1 Au 3.10, 4 Zn 3.14-3.17, 3 Cd 3.25
Zn (0.2443, 0.2443, 0.2443)  8 Ca 3.14-3.30
Zn (0.7557, 0.7557, 0.7557)  8 Ca 3.14-3.30
Cd (0.5000, 0.5000, 0.5000)  8 Ca 3.25-3.30, 6 Zn 3.63
Au (0.0000, 0.0000, 0.0000)  8 Ca 3.10-3.19

DOS at the Fermi energy	5.28	states/eV/cell
formation energy	-400.6	meV per atom

=====

[12]
A plane-wave DFT calculation with PBE was carried out for a geometry-optimized Sm2PuHg structure.

a = 7.6972 Å, b = 7.6972 Å, c = 7.6972 Å
α = 90.00°, β = 90.00°, γ = 90.00°
Last column: nearest neighbours and their distance in Å.
Positions (direct):
Sm (0.2500, 0.2500, 0.2500)  4 Hg 3.33, 4 Pu 3.33
Sm (0.2500, 0.2500, 0.7500)  4 Hg 3.33, 4 Pu 3.33
Sm (0.2500, 0.7500, 0.2500)  4 Hg 3.33, 4 Pu 3.33
Sm (0.2500, 0.7500, 0.7500)  4 Hg 3.33, 4 Pu 3.33
Sm (0.7500, 0.2500, 0.2500)  4 Hg 3.33, 4 Pu 3.33
Sm (0.7500, 0.2500, 0.7500)  4 Hg 3.33, 4 Pu 3.33
Sm (0.7500, 0.7500, 0.2500)  4 Hg 3.33, 4 Pu 3.33
Sm (0.7500, 0.7500, 0.7500)  4 Hg 3.33, 4 Pu 3.33
Pu (0.0000, 0.0000, 0.0000)  8 Sm 3.33
Pu (0.0000, 0.5000, 0.5000)  8 Sm 3.33
Pu (0.5000, 0.0000, 0.5000)  8 Sm 3.33
Pu (0.5000, 0.5000, 0.0000)  8 Sm 3.33
Hg (0.0000, 0.0000, 0.5000)  8 Sm 3.33
Hg (0.0000, 0.5000, 0.0000)  8 Sm 3.33
Hg (0.5000, 0.0000, 0.0000)  8 Sm 3.33
Hg (0.5000, 0.5000, 0.5000)  8 Sm 3.33

DOS at the Fermi energy	64.09	states/eV/cell
formation energy	24.7	meV per atom